Below is an optimized crystal structure of Tb6Pm2Al, with properties calculated at the GGA-PBE level.

abc: 3.5252 9.4075 9.8746
angles: 118.45 90.20 90.00
Fractional positions:
Tb (0.0015, 0.0095, 0.6761)
Tb (0.0015, 0.6666, 0.6761)
Al (0.0000, 0.0000, 0.0000)
Pm (0.5031, 0.3238, 0.6476)
Tb (0.9985, 0.3334, 0.3239)
Tb (0.9985, 0.9905, 0.3239)
Tb (0.5000, 0.2830, 0.0000)
Pm (0.4969, 0.6762, 0.3524)
Tb (0.5000, 0.7170, 0.0000)

Formation energy from the elements: 7 kJ/mol of atoms
Calculated volume: 288 Å³/cell
Total magnetization: 0.00 μB per cell
DFT total energy: -40.4 eV/cell